This record from the Alexandria database describes a relaxed structure of KTlSb. The functional is PBE.

Unit cell a=5.620 b=5.620 c=3.586 alpha=90.00 beta=90.00 gamma=120.00
Atoms (fractional coordinates):
K (0.000, 0.000, 0.000)
Tl (0.333, 0.667, 0.638)
Sb (0.667, 0.333, 0.427)

Properties
* polymorph energy (0 for the lowest one): 6.7 kJ/mol of atoms
* energy relative to the elements, uncorrected: -0.206 eV/atom
* SG: No. 156
* crystal system: trigonal

This record from the Alexandria database describes a relaxed structure of Li7SiPO8. The functional is PBE.

Unit cell a=5.138 b=6.219 c=10.691 alpha=91.25 beta=90.14 gamma=90.30
Atoms (fractional coordinates):
Li (0.000, 0.000, 0.000)
Li (0.004, 0.753, 0.771)
Li (0.082, 0.319, 0.240)
Li (0.300, 0.813, 0.581)
Li (0.355, 0.473, 0.857)
Li (0.370, 0.735, 0.086)
Li (0.478, 0.231, 0.586)
Li (0.487, 0.530, 0.353)
Li (0.529, 0.219, 0.093)
Li (0.617, 0.580, 0.646)
Li (0.747, 0.215, 0.370)
Li (0.846, 0.969, 0.507)
Li (0.854, 0.759, 0.258)
Li (0.980, 0.233, 0.754)
Si (0.016, 0.496, 0.514)
Si (0.340, 0.999, 0.332)
P (0.498, 0.987, 0.835)
P (0.863, 0.498, 0.005)
O (0.020, 0.010, 0.338)
O (0.337, 0.499, 0.526)
O (0.386, 0.184, 0.764)
O (0.391, 0.990, 0.970)
O (0.405, 0.775, 0.763)
O (0.437, 0.228, 0.266)
O (0.454, 0.788, 0.256)
O (0.474, 0.001, 0.473)
O (0.560, 0.502, 0.003)
O (0.801, 0.994, 0.836)
O (0.868, 0.294, 0.584)
O (0.907, 0.498, 0.368)
O (0.931, 0.719, 0.594)
O (0.937, 0.288, 0.073)
O (0.972, 0.492, 0.868)
O (0.974, 0.699, 0.076)

Properties
* energy relative to the elements, uncorrected: -2.355 eV/atom
* SG: No. 1
* crystal system: triclinic

This record from the Alexandria database describes a relaxed structure of Dy3BP2Rh9. The functional is PBE.

Unit cell a=6.250 b=6.250 c=7.345 alpha=90.00 beta=90.00 gamma=120.00
Atoms (fractional coordinates):
Dy (0.000, 0.000, 0.000)
Dy (0.333, 0.667, 0.661)
Dy (0.667, 0.333, 0.339)
B (0.000, 0.000, 0.500)
P (0.333, 0.667, 0.186)
P (0.667, 0.333, 0.814)
Rh (0.000, 0.500, 0.000)
Rh (0.155, 0.310, 0.334)
Rh (0.155, 0.845, 0.334)
Rh (0.310, 0.155, 0.666)
Rh (0.500, 0.000, 0.000)
Rh (0.500, 0.500, 0.000)
Rh (0.690, 0.845, 0.334)
Rh (0.845, 0.155, 0.666)
Rh (0.845, 0.690, 0.666)

Properties
* E_form: -786.0 meV per atom
* SG: No. 164
* crystal system: trigonal

This record from the Alexandria database describes a relaxed structure of Mn5Ru4. The functional is PBE.

Unit cell a=5.946 b=5.946 c=5.946 alpha=95.62 beta=95.62 gamma=143.51
Atoms (fractional coordinates):
Mn (0.000, 0.000, 0.000)
Mn (0.336, 0.336, 0.671)
Mn (0.336, 0.664, 0.000)
Mn (0.664, 0.336, 0.000)
Mn (0.664, 0.664, 0.329)
Ru (0.000, 0.333, 0.333)
Ru (0.000, 0.667, 0.667)
Ru (0.333, 0.000, 0.333)
Ru (0.667, 0.000, 0.667)

Properties
* polymorph energy (0 for the lowest one): 0.0 kJ/mol of atoms
* E_form: 90.0 meV per atom
* SG: No. 139
* crystal system: tetragonal

This record from the Alexandria database describes a relaxed structure of BeRuBr2. The functional is PBE.

Unit cell a=6.850 b=6.850 c=6.850 alpha=149.70 beta=149.70 gamma=43.37
Atoms (fractional coordinates):
Be (0.000, 0.000, 0.000)
Ru (0.750, 0.250, 0.500)
Br (0.250, 0.750, 0.500)
Br (0.500, 0.500, 0.000)

Properties
* polymorph energy (0 for the lowest one): 85.4 kJ/mol of atoms
* energy relative to the elements, uncorrected: 0.883 eV/atom
* SG: No. 119
* crystal system: tetragonal

This record from the Alexandria database describes a relaxed structure of FeNi8H4. The functional is PBE.

Unit cell a=6.458 b=6.458 c=8.618 alpha=129.00 beta=129.00 gamma=22.85
Atoms (fractional coordinates):
Fe (0.000, 0.000, 0.000)
Ni (0.037, 0.037, 0.742)
Ni (0.301, 0.301, 0.925)
Ni (0.338, 0.338, 0.675)
Ni (0.370, 0.370, 0.407)
Ni (0.630, 0.630, 0.593)
Ni (0.662, 0.662, 0.325)
Ni (0.699, 0.699, 0.075)
Ni (0.963, 0.963, 0.258)
H (0.146, 0.146, 0.467)
H (0.338, 0.338, 0.172)
H (0.662, 0.662, 0.828)
H (0.854, 0.854, 0.533)

Properties
* VASP energy: -5.2721 eV/atom
* SG: No. 12
* crystal system: monoclinic

This record from the Alexandria database describes a relaxed structure of ZrBe2Te. The functional is PBE.

Unit cell a=6.787 b=6.787 c=6.787 alpha=31.10 beta=31.10 gamma=31.10
Atoms (fractional coordinates):
Zr (0.000, 0.000, 0.000)
Be (0.244, 0.244, 0.244)
Be (0.756, 0.756, 0.756)
Te (0.500, 0.500, 0.500)

Properties
* energy relative to the elements, uncorrected: 0.478 eV/atom
* SG: No. 166
* crystal system: trigonal

This record from the Alexandria database describes a relaxed structure of GaSb2Te2. The functional is PBE.

Unit cell a=8.761 b=8.761 c=4.005 alpha=90.00 beta=90.00 gamma=90.00
Atoms (fractional coordinates):
Ga (0.000, 0.000, 0.000)
Ga (0.500, 0.500, 0.000)
Sb (0.159, 0.341, 0.500)
Sb (0.341, 0.841, 0.500)
Sb (0.659, 0.159, 0.500)
Sb (0.841, 0.659, 0.500)
Te (0.170, 0.670, 0.000)
Te (0.330, 0.170, 0.000)
Te (0.670, 0.830, 0.000)
Te (0.830, 0.330, 0.000)

Properties
* polymorph energy (0 for the lowest one): 7.3 kJ/mol of atoms
* energy relative to the elements, uncorrected: 0.148 eV/atom
* SG: No. 127
* crystal system: tetragonal

This record from the Alexandria database describes a relaxed structure of CrCdIr2. The functional is PBE.

Unit cell a=2.773 b=2.773 c=9.240 alpha=90.00 beta=90.00 gamma=118.17
Atoms (fractional coordinates):
Cr (0.000, 0.000, 0.000)
Cd (0.000, 0.000, 0.500)
Ir (0.500, 0.500, 0.224)
Ir (0.500, 0.500, 0.776)

Properties
* E_form: 204.6 meV per atom
* SG: No. 65
* crystal system: orthorhombic

This record from the Alexandria database describes a relaxed structure of ErPaB4. The functional is PBE.

Unit cell a=4.758 b=4.758 c=4.758 alpha=60.00 beta=60.00 gamma=60.00
Atoms (fractional coordinates):
Er (0.000, 0.000, 0.000)
Pa (0.250, 0.250, 0.250)
B (0.221, 0.593, 0.593)
B (0.593, 0.221, 0.593)
B (0.593, 0.593, 0.221)
B (0.593, 0.593, 0.593)

Properties
* polymorph energy (0 for the lowest one): 75.0 kJ/mol of atoms
* E_form: 320.0 meV per atom
* SG: No. 216
* crystal system: cubic

This record from the Alexandria database describes a relaxed structure of PmGa2Au5. The functional is PBE.

Unit cell a=6.836 b=6.836 c=6.836 alpha=145.44 beta=114.62 gamma=76.11
Atoms (fractional coordinates):
Pm (0.000, 0.000, 0.000)
Ga (0.256, 0.756, 0.500)
Ga (0.744, 0.244, 0.500)
Au (0.157, 0.366, 0.791)
Au (0.425, 0.634, 0.791)
Au (0.500, 0.000, 0.500)
Au (0.575, 0.366, 0.209)
Au (0.843, 0.634, 0.209)

Properties
* E_form: -411.9 meV per atom
* SG: No. 71
* crystal system: orthorhombic

This record from the Alexandria database describes a relaxed structure of BeCrFe2. The functional is PBE.

Unit cell a=2.394 b=3.769 c=4.707 alpha=90.00 beta=101.80 gamma=90.00
Atoms (fractional coordinates):
Be (0.000, 0.000, 0.000)
Cr (0.500, 0.000, 0.500)
Fe (0.268, 0.500, 0.760)
Fe (0.732, 0.500, 0.240)

Properties
* E_form: 19.1 meV per atom
* SG: No. 10
* crystal system: monoclinic

This record from the Alexandria database describes a relaxed structure of Ac8AlGa3Br4. The functional is PBE.

Unit cell a=9.181 b=9.181 c=9.181 alpha=61.53 beta=61.53 gamma=61.53
Atoms (fractional coordinates):
Ac (0.239, 0.745, 0.745)
Ac (0.242, 0.242, 0.242)
Ac (0.255, 0.255, 0.761)
Ac (0.255, 0.761, 0.255)
Ac (0.745, 0.239, 0.745)
Ac (0.745, 0.745, 0.239)
Ac (0.758, 0.758, 0.758)
Ac (0.761, 0.255, 0.255)
Al (0.500, 0.500, 0.500)
Ga (0.000, 0.000, 0.500)
Ga (0.000, 0.500, 0.000)
Ga (0.500, 0.000, 0.000)
Br (0.000, 0.000, 0.000)
Br (0.000, 0.500, 0.500)
Br (0.500, 0.000, 0.500)
Br (0.500, 0.500, 0.000)

Properties
* energy relative to the elements, uncorrected: -0.832 eV/atom
* SG: No. 166
* crystal system: trigonal

This record from the Alexandria database describes a relaxed structure of Ca2ScSnO. The functional is PBE.

Unit cell a=4.810 b=4.810 c=4.522 alpha=90.00 beta=90.00 gamma=90.00
Atoms (fractional coordinates):
Ca (0.000, 0.500, 0.000)
Ca (0.500, 0.000, 0.000)
Sc (0.000, 0.000, 0.500)
Sn (0.500, 0.500, 0.500)
O (0.000, 0.000, 0.000)

Properties
* energy relative to the elements, uncorrected: -1.484 eV/atom
* SG: No. 123
* crystal system: tetragonal

This record from the Alexandria database describes a relaxed structure of SnHgAs. The functional is PBE.

Unit cell a=4.098 b=4.103 c=12.527 alpha=81.11 beta=80.64 gamma=60.24
Atoms (fractional coordinates):
Sn (0.130, 0.138, 0.102)
Sn (0.870, 0.862, 0.898)
Hg (0.357, 0.350, 0.428)
Hg (0.643, 0.650, 0.572)
As (0.427, 0.441, 0.208)
As (0.573, 0.559, 0.792)

Properties
* polymorph energy (0 for the lowest one): 0.1 kJ/mol of atoms
* E_form: -1.0 meV per atom
* SG: No. 2
* crystal system: triclinic

This record from the Alexandria database describes a relaxed structure of LaPm3Y. The functional is PBE.

Unit cell a=6.914 b=6.914 c=8.773 alpha=106.71 beta=106.71 gamma=62.31
Atoms (fractional coordinates):
La (0.057, 0.057, 0.227)
La (0.943, 0.943, 0.773)
Pm (0.097, 0.595, 0.384)
Pm (0.247, 0.247, 0.999)
Pm (0.405, 0.903, 0.616)
Pm (0.595, 0.097, 0.384)
Pm (0.753, 0.753, 0.001)
Pm (0.903, 0.405, 0.616)
Y (0.444, 0.444, 0.775)
Y (0.556, 0.556, 0.225)

Properties
* polymorph energy (0 for the lowest one): 8.7 kJ/mol of atoms
* E_form: 118.9 meV per atom
* SG: No. 12
* crystal system: monoclinic

This record from the Alexandria database describes a relaxed structure of Tb2Tm2Mg. The functional is PBE.

Unit cell a=12.090 b=12.090 c=12.090 alpha=163.19 beta=163.19 gamma=23.85
Atoms (fractional coordinates):
Tb (0.095, 0.095, 0.000)
Tb (0.905, 0.905, 0.000)
Tm (0.302, 0.302, 0.000)
Tm (0.698, 0.698, 0.000)
Mg (0.500, 0.500, 0.000)

Properties
* polymorph energy (0 for the lowest one): 0.0 kJ/mol of atoms
* E_form: -12.9 meV per atom
* SG: No. 139
* crystal system: tetragonal

This record from the Alexandria database describes a relaxed structure of Tb7PrMg4. The functional is PBE.

Unit cell a=7.423 b=7.423 c=11.389 alpha=120.90 beta=120.90 gamma=45.63
Atoms (fractional coordinates):
Tb (0.000, 0.000, 0.000)
Tb (0.174, 0.174, 0.612)
Tb (0.281, 0.281, 0.121)
Tb (0.443, 0.443, 0.618)
Tb (0.557, 0.557, 0.382)
Tb (0.719, 0.719, 0.879)
Tb (0.826, 0.826, 0.388)
Pr (0.500, 0.500, 0.000)
Mg (0.065, 0.065, 0.783)
Mg (0.186, 0.186, 0.334)
Mg (0.814, 0.814, 0.666)
Mg (0.935, 0.935, 0.217)

Properties
* E_form: 214.5 meV per atom
* SG: No. 12
* crystal system: monoclinic

This record from the Alexandria database describes a relaxed structure of SrCdN2F. The functional is PBE.

Unit cell a=5.150 b=5.150 c=4.630 alpha=90.00 beta=90.00 gamma=90.00
Atoms (fractional coordinates):
Sr (0.000, 0.000, 0.000)
Cd (0.500, 0.500, 0.500)
N (0.000, 0.500, 0.000)
N (0.500, 0.000, 0.000)
F (0.000, 0.000, 0.500)

Properties
* polymorph energy (0 for the lowest one): 50.6 kJ/mol of atoms
* energy relative to the elements, uncorrected: 0.480 eV/atom
* SG: No. 123
* crystal system: tetragonal